No. 1
VASP calculation (meta-GGA SCAN) on a PBEsol-optimized structure of GaSiGe2.

Calculated values
Its space group is I-42d, No. 122. For the magnetization, the calculation gives 0.00 μB/f.u. The crystal system is tetragonal. For the total energy, the calculation gives -16.017 eV per atom.

Cell lengths 5.665, 5.665, 6.800 Å; angles 114.62, 114.62, 90.00 degrees
Element x y z (fractional)
Ge 0.385 0.875 0.250
Ge 0.865 0.375 0.250
Ge 0.125 0.135 0.750
Ge 0.625 0.615 0.750
Si 0.750 0.250 0.500
Si 0.500 0.500 0.000
Ga 0.250 0.750 0.500
Ga 0.000 0.000 0.000



No. 2
VASP calculation (meta-GGA SCAN) on a PBEsol-optimized structure of MnIn2Au.

Calculated values
Its space group is Pm, No. 6. For the formation energy, the calculation gives -125 meV per atom. For the magnetization, the calculation gives 3.78 μB/f.u. The crystal system is monoclinic. The energy above the lowest structure with this stoichiometry comes out at 0 meV/atom.

Cell lengths 3.324, 4.338, 5.526 Å; angles 90.00, 106.09, 90.00 degrees
Site moments in Bohr magnetons follow the coordinates.
Element x y z (fractional)
Au 0.446 0.500 0.770  -0.01
In 0.024 0.000 0.946  -0.07
In 0.730 0.500 0.312  -0.11
Mn 0.300 0.000 0.471  3.89



No. 3
VASP calculation (meta-GGA SCAN) on a PBEsol-optimized structure of BiHPt2.

Calculated values
Its space group is I-42d, No. 122. For the magnetization, the calculation gives 0.00 μB/f.u. The crystal system is tetragonal. For the total energy, the calculation gives -55.543 eV per atom.

Cell lengths 5.411, 5.411, 5.411 Å; angles 110.28, 109.07, 109.07 degrees
Element x y z (fractional)
H 0.500 0.250 0.750
H 0.000 0.500 0.500
Bi 0.500 0.750 0.250
Bi 0.000 0.000 0.000
Pt 0.850 0.475 0.125
Pt 0.150 0.275 0.625
Pt 0.350 0.875 0.725
Pt 0.650 0.375 0.525



Which formula does entry 3 have?
BiHPt2



Which value of magnetization does entry 3 give?
0.00 μB/f.u.